1.
# GGA-PBE AcTe4, optimized geometry
# * total magnetic moment: 3.9 μB/f.u.
# * formation energy (no corrections): 0.16 eV per atom
data_AcTe4
_cell_length_a 6.4157
_cell_length_b 6.4157
_cell_length_c 6.4157
_cell_angle_alpha 90.00
_cell_angle_beta 90.00
_cell_angle_gamma 90.00
_symmetry_space_group_name_H-M 'P m -3 m'
_symmetry_Int_Tables_number 221
_symmetry_space_group_name_Hall '-P 4 2 3'
loop_
_atom_site_label
_atom_site_fract_x
_atom_site_fract_y
_atom_site_fract_z
_atom_site_occupancy
Ac1 0.0000 0.0000 0.0000 1
Te1 0.0000 0.0000 0.5000 1
Te2 0.5000 0.5000 0.5000 1

***

2.
# GGA-PBE Ac3Te2, optimized geometry
# * total magnetic moment: 0.0 μB/f.u.
# * formation energy (no corrections): -1.00 eV per atom
data_Ac3Te2
_cell_length_a 8.0380
_cell_length_b 8.0380
_cell_length_c 23.0058
_cell_angle_alpha 90.00
_cell_angle_beta 90.00
_cell_angle_gamma 120.00
_symmetry_space_group_name_H-M 'R -3 c'
_symmetry_Int_Tables_number 167
_symmetry_space_group_name_Hall '-R 3 2"c'
loop_
_atom_site_label
_atom_site_fract_x
_atom_site_fract_y
_atom_site_fract_z
_atom_site_occupancy
Ac1 0.0000 0.3405 0.2500 1
Te1 0.0000 0.0000 0.1668 1